Entry from Alexandria: crystalline SmDyHfTh at its relaxed geometry (PBE).

The structure belongs to space group F-43m (No. 216); the cell edges are 7.7588, 7.7588 and 7.7588 Å and the angles 90.00°, 90.00° and 90.00°. The distinct sites, in fractional coordinates, are Sm at (0.0000, 0.0000, 0.0000), Dy at (0.2500, 0.2500, 0.7500), Hf at (0.2500, 0.2500, 0.2500) and Th at (0.0000, 0.0000, 0.5000).

Its formation energy is 83 kJ/mol of formula units. The calculation puts the density of states at the Fermi level at 1.501 states/eV per atom. The calculation puts the volume at 29.192 Å³ per atom.

---

Entry from Alexandria: crystalline CrPb at its relaxed geometry (PBE).

The structure belongs to space group P2_12_12_1 (No. 19); the cell edges are 6.6688, 6.8823 and 7.7869 Å and the angles 90.00°, 90.00° and 90.00°. The distinct sites, in fractional coordinates, are Cr at (0.0552, 0.0530, 0.1240), Cr at (0.2349, 0.8012, 0.3327), Pb at (0.0879, 0.1565, 0.4872) and Pb at (0.1966, 0.6005, 0.6732).

Its formation energy is 104 kJ/mol of formula units. The calculation puts the density of states at the Fermi level at 0.593 states/eV per atom. The calculation puts the volume at 22.337 Å³ per atom.